# PrAg2Hg PBE-GGA optimized geometry
# energy relative to the elements: -0.54 eV/f.u.
data_PrAg2Hg
_space_group_name_H-M_alt 'P 4/m m m'
_space_group_IT_number 123
_space_group_name_Hall '-P 4 2'
_cell_length_a 3.791
_cell_length_b 3.791
_cell_length_c 6.712
_cell_angle_alpha 90.00
_cell_angle_beta 90.00
_cell_angle_gamma 90.00
loop_
_atom_site_label
_atom_site_fract_x
_atom_site_fract_y
_atom_site_fract_z
_atom_site_occupancy
Pr1 0.000 0.000 0.000 1
Ag1 0.500 0.500 0.272 1
Hg1 0.000 0.000 0.500 1